DFT (PBE) results for a relaxed structure of Ca2HoTm.

The structure in extended XYZ format:
```
4
Lattice="-2.367 0.439 2.621 -2.672 -2.319 0.392 5.695 -7.797 8.866" Properties=species:S:1:pos:R:3 pbc="T T T"
Ca 3.761 -5.917 6.805
Ca -3.106 -3.760 5.074
Tm 0.000 0.000 0.000
Ho 0.328 -4.838 5.940
```

Summary:
**Spin magnetization**: 0.9 μB per cell
**DOS at the Fermi energy**: 1.748 states/eV per atom
**Formation enthalpy at 0 K**: 0.28 eV per atom
**Symmetry**: R-3m


DFT (PBE) results for a relaxed structure of CaYHoTm.

The structure in extended XYZ format:
```
4
Lattice="-2.023 3.283 4.226 -5.048 -1.218 2.402 -0.209 -2.026 5.346" Properties=species:S:1:pos:R:3 pbc="T T T"
Y -5.460 0.029 8.980
Ca -3.640 0.019 5.987
Tm 0.000 0.000 0.000
Ho -1.820 0.010 2.993
```

Summary:
**Spin magnetization**: 0.0 μB per cell
**DOS at the Fermi energy**: 1.955 states/eV per atom
**Formation enthalpy at 0 K**: 0.17 eV per atom
**Symmetry**: F-43m


Look up the spin magnetization of the first one.
0.9 μB per cell